# Pr2Ga3GePt4

A relaxed Pr2Ga3GePt4 crystal (PBE, Alexandria).

Cell lengths 4.3524, 4.3524, 10.3267 Å; angles 90.00, 90.00, 90.00 degrees
Positions (direct):
1 Pt 0.0000 0.5000 0.3716
2 Pt 0.0000 0.0000 0.0000
3 Pt 0.5000 0.5000 0.0000
4 Pt 0.5000 0.0000 0.6284
5 Ga 0.5000 0.0000 0.8702
6 Ga 0.0000 0.0000 0.5000
7 Ga 0.0000 0.5000 0.1298
8 Pr 0.5000 0.0000 0.2548
9 Pr 0.0000 0.5000 0.7452
10 Ge 0.5000 0.5000 0.5000

Properties
V   195.6 Å³ per cell
Total energy   -5.70 eV/atom
Calculated formation energy   -928 kJ/mol of formula units